## w
Material: KHf2W
Method: DFT, GGA-PBE
State: optimized geometry

- space-group type = Fm-3m
- magnetization (μB/atom) = 0.00
- volume (Å³ per cell) = 86.1

Unit cell a=4.957 b=4.957 c=4.957 alpha=60.00 beta=60.00 gamma=60.00
Sites, in units of the cell vectors:
1 K 0.000 0.000 0.000
2 Hf 0.250 0.250 0.250
3 Hf 0.750 0.750 0.750
4 W 0.500 0.500 0.500


## x
Material: KHf2W
Method: DFT, GGA-PBE
State: optimized geometry

- space-group type = I4_1/amd
- magnetization (μB/atom) = 0.00
- volume (Å³ per cell) = 347.5

Unit cell a=8.413 b=8.413 c=8.413 alpha=129.30 beta=129.30 gamma=74.53
Sites, in units of the cell vectors:
1 K 0.375 0.625 0.750
2 K 0.625 0.375 0.250
3 Hf 0.000 0.000 0.000
4 Hf 0.000 0.000 0.500
5 Hf 0.000 0.500 0.000
6 Hf 0.500 0.000 0.500
7 W 0.125 0.875 0.250
8 W 0.875 0.125 0.750


Most stable structure, least stable structure: w, x.


## w
Material: K2Hf2W
Method: DFT, GGA-PBE
State: optimized geometry

- space-group type = I4/mmm
- magnetization (μB/atom) = 0.08
- volume (Å³ per cell) = 120.1

Unit cell a=5.659 b=5.659 c=5.659 alpha=123.75 beta=123.75 gamma=83.62
Sites, in units of the cell vectors:
1 K 0.142 0.142 0.000
2 K 0.858 0.858 0.000
3 Hf 0.250 0.750 0.500
4 Hf 0.750 0.250 0.500
5 W 0.500 0.500 0.000


## x
Material: K2Hf2W
Method: DFT, GGA-PBE
State: optimized geometry

- space-group type = P4/mbm
- magnetization (μB/atom) = 0.00
- volume (Å³ per cell) = 253.8

Unit cell a=9.504 b=9.504 c=2.810 alpha=90.00 beta=90.00 gamma=90.00
Sites, in units of the cell vectors:
1 K 0.108 0.392 0.000
2 K 0.392 0.892 0.000
3 K 0.608 0.108 0.000
4 K 0.892 0.608 0.000
5 Hf 0.197 0.697 0.500
6 Hf 0.303 0.197 0.500
7 Hf 0.697 0.803 0.500
8 Hf 0.803 0.303 0.500
9 W 0.000 0.000 0.000
10 W 0.500 0.500 0.000


Most stable structure, least stable structure: x, w.


## w
Material: K2YHf
Method: DFT, GGA-PBE
State: optimized geometry

- space-group type = I-42d
- magnetization (μB/atom) = 0.00
- volume (Å³ per cell) = 303.2

Unit cell a=7.651 b=7.651 c=7.651 alpha=99.43 beta=99.43 gamma=132.23
Sites, in units of the cell vectors:
1 K 0.118 0.625 0.993
2 K 0.375 0.368 0.493
3 K 0.632 0.125 0.007
4 K 0.875 0.882 0.507
5 Y 0.250 0.750 0.500
6 Y 0.500 0.500 0.000
7 Hf 0.000 0.000 0.000
8 Hf 0.750 0.250 0.500


## x
Material: K2YHf
Method: DFT, GGA-PBE
State: optimized geometry

- space-group type = Fm-3m
- magnetization (μB/atom) = 0.22
- volume (Å³ per cell) = 147.5

Unit cell a=5.931 b=5.931 c=5.931 alpha=60.00 beta=60.00 gamma=60.00
Sites, in units of the cell vectors:
1 K 0.250 0.250 0.250
2 K 0.750 0.750 0.750
3 Y 0.000 0.000 0.000
4 Hf 0.500 0.500 0.500


Most stable structure, least stable structure: w, x.


## w
Material: KY2Hf
Method: DFT, GGA-PBE
State: optimized geometry

- space-group type = Fm-3m
- magnetization (μB/atom) = 0.48
- volume (Å³ per cell) = 127.5

Unit cell a=5.649 b=5.649 c=5.649 alpha=60.00 beta=60.00 gamma=60.00
Sites, in units of the cell vectors:
1 K 0.000 0.000 0.000
2 Y 0.250 0.250 0.250
3 Y 0.750 0.750 0.750
4 Hf 0.500 0.500 0.500


## x
Material: KY2Hf
Method: DFT, GGA-PBE
State: optimized geometry

- space-group type = I-42d
- magnetization (μB/atom) = 0.30
- volume (Å³ per cell) = 271.4

Unit cell a=11.904 b=11.904 c=11.904 alpha=156.34 beta=156.34 gamma=33.70
Sites, in units of the cell vectors:
1 K 0.000 0.000 0.000
2 K 0.750 0.250 0.500
3 Y 0.151 0.625 0.026
4 Y 0.375 0.401 0.526
5 Y 0.599 0.125 0.974
6 Y 0.875 0.849 0.474
7 Hf 0.250 0.750 0.500
8 Hf 0.500 0.500 0.000


Most stable structure, least stable structure: w, x.


## w
Material: KHfZn3
Method: DFT, GGA-PBE
State: optimized geometry

- space-group type = Pm-3m
- magnetization (μB/atom) = 0.00
- volume (Å³ per cell) = 126.3

Unit cell a=5.018 b=5.018 c=5.018 alpha=90.00 beta=90.00 gamma=90.00
Sites, in units of the cell vectors:
1 K 0.000 0.000 0.000
2 Hf 0.500 0.500 0.500
3 Zn 0.000 0.000 0.500
4 Zn 0.000 0.500 0.000
5 Zn 0.500 0.000 0.000


## x
Material: KHfZn3
Method: DFT, GGA-PBE
State: optimized geometry

- space-group type = Pm-3m
- magnetization (μB/atom) = 0.14
- volume (Å³ per cell) = 155.9

Unit cell a=5.382 b=5.382 c=5.382 alpha=90.00 beta=90.00 gamma=90.00
Sites, in units of the cell vectors:
1 K 0.000 0.000 0.000
2 Hf 0.500 0.500 0.500
3 Zn 0.000 0.500 0.500
4 Zn 0.500 0.000 0.500
5 Zn 0.500 0.500 0.000


Most stable structure, least stable structure: x, w.


## w
Material: KHfZn2
Method: DFT, GGA-PBE
State: optimized geometry

- space-group type = Fm-3m
- magnetization (μB/atom) = 0.00
- volume (Å³ per cell) = 90.1

Unit cell a=5.031 b=5.031 c=5.031 alpha=60.00 beta=60.00 gamma=60.00
Sites, in units of the cell vectors:
1 K 0.000 0.000 0.000
2 Hf 0.500 0.500 0.500
3 Zn 0.250 0.250 0.250
4 Zn 0.750 0.750 0.750


## x
Material: KHfZn2
Method: DFT, GGA-PBE
State: optimized geometry

- space-group type = I-42d
- magnetization (μB/atom) = 0.00
- volume (Å³ per cell) = 219.9

Unit cell a=6.596 b=6.596 c=6.596 alpha=107.28 beta=107.28 gamma=113.95
Sites, in units of the cell vectors:
1 K 0.000 0.000 0.000
2 K 0.750 0.250 0.500
3 Hf 0.250 0.750 0.500
4 Hf 0.500 0.500 0.000
5 Zn 0.168 0.125 0.543
6 Zn 0.375 0.832 0.957
7 Zn 0.582 0.625 0.457
8 Zn 0.875 0.418 0.043


Most stable structure, least stable structure: w, x.


## w
Material: KHf3Zn
Method: DFT, GGA-PBE
State: optimized geometry

- space-group type = Pm-3m
- magnetization (μB/atom) = 0.00
- volume (Å³ per cell) = 117.2

Unit cell a=4.894 b=4.894 c=4.894 alpha=90.00 beta=90.00 gamma=90.00
Sites, in units of the cell vectors:
1 K 0.000 0.000 0.000
2 Hf 0.000 0.000 0.500
3 Hf 0.000 0.500 0.000
4 Hf 0.500 0.000 0.000
5 Zn 0.500 0.500 0.500


## x
Material: KHf3Zn
Method: DFT, GGA-PBE
State: optimized geometry

- space-group type = Pm-3m
- magnetization (μB/atom) = 0.00
- volume (Å³ per cell) = 135.9

Unit cell a=5.141 b=5.141 c=5.141 alpha=90.00 beta=90.00 gamma=90.00
Sites, in units of the cell vectors:
1 K 0.000 0.000 0.000
2 Hf 0.000 0.500 0.500
3 Hf 0.500 0.000 0.500
4 Hf 0.500 0.500 0.000
5 Zn 0.500 0.500 0.500


Most stable structure, least stable structure: x, w.


## w
Material: KHf3Zr
Method: DFT, GGA-PBE
State: optimized geometry

- space-group type = Pm-3m
- magnetization (μB/atom) = 0.19
- volume (Å³ per cell) = 118.9

Unit cell a=4.918 b=4.918 c=4.918 alpha=90.00 beta=90.00 gamma=90.00
Sites, in units of the cell vectors:
1 K 0.000 0.000 0.000
2 Hf 0.000 0.000 0.500
3 Hf 0.000 0.500 0.000
4 Hf 0.500 0.000 0.000
5 Zr 0.500 0.500 0.500


## x
Material: KHf3Zr
Method: DFT, GGA-PBE
State: optimized geometry

- space-group type = Pm-3m
- magnetization (μB/atom) = 0.00
- volume (Å³ per cell) = 153.4

Unit cell a=5.353 b=5.353 c=5.353 alpha=90.00 beta=90.00 gamma=90.00
Sites, in units of the cell vectors:
1 K 0.000 0.000 0.000
2 Hf 0.000 0.500 0.500
3 Hf 0.500 0.000 0.500
4 Hf 0.500 0.500 0.000
5 Zr 0.500 0.500 0.500


Most stable structure, least stable structure: x, w.